## InAu2Se (PBE)

Data for crystalline InAu2Se at its relaxed geometry.

Cell: 6.946 6.946 6.946 Å, 90.00 90.00 90.00°
Space group F-43m (No. 216)
Inequivalent atoms, fractional coordinates:
In: 0.000 0.000 0.000
Au: 0.000 0.000 0.500
Au: 0.250 0.250 0.250
Se: 0.250 0.250 0.750

Properties
- Fermi-level density of states: 1.08 states/eV per atom
- Raw formation energy: 0.155 eV/atom
- Spin magnetization: 0.0 μB/f.u.
- Electronic total energy: -3.039 eV per atom

***

## Lu2CdTc (PBE)

Data for crystalline Lu2CdTc at its relaxed geometry.

Cell: 3.1367 3.1367 32.4027 Å, 90.00 90.00 120.00°
Space group R-3m (No. 166, hexagonal axes)
Inequivalent atoms, fractional coordinates:
Lu: 0.0000 0.0000 0.0811
Cd: 0.0000 0.0000 0.5000
Tc: 0.0000 0.0000 0.0000

Properties
- Fermi-level density of states: 0.95 states/eV per atom
- Spin magnetization: 0.7 μB/f.u.
- Electronic total energy: -4.574 eV per atom

***

## Pm4HPt2 (PBE)

Data for crystalline Pm4HPt2 at its relaxed geometry.

Cell: 4.666 4.666 15.225 Å, 90.00 90.00 90.00°
Space group I4/mmm (No. 139)
Inequivalent atoms, fractional coordinates:
Pm: 0.000 0.000 0.187
Pm: 0.000 0.500 0.000
H: 0.000 0.000 0.000
Pt: 0.000 0.000 0.368

Properties
- Fermi-level density of states: 0.95 states/eV per atom
- Spin magnetization: 0.0 μB/f.u.
- Electronic total energy: -5.635 eV per atom

***

## Pr6Zn2Pd (PBE)

Data for crystalline Pr6Zn2Pd at its relaxed geometry.

Cell: 6.346 9.537 9.959 Å, 90.00 117.99 90.00°
Space group P2_1/c (No. 14)
Inequivalent atoms, fractional coordinates:
Pr: 0.069 0.179 0.481
Pr: 0.366 0.679 0.452
Pr: 0.405 0.028 0.292
Zn: 0.119 0.092 0.779
Pd: 0.000 0.000 0.000

Properties
- Fermi-level density of states: 1.08 states/eV per atom
- Spin magnetization: 0.0 μB/f.u.
- Electronic total energy: -4.265 eV per atom

***

## BaMn2Os (PBE)

Data for crystalline BaMn2Os at its relaxed geometry.

Cell: 4.1505 4.1505 18.3636 Å, 90.00 90.00 120.00°
Space group R3m (No. 160, hexagonal axes)
Inequivalent atoms, fractional coordinates:
Ba: 0.0000 0.0000 0.0000
Mn: 0.0000 0.0000 0.1933
Mn: 0.0000 0.0000 0.4796
Os: 0.0000 0.0000 0.8038

Properties
- Fermi-level density of states: 0.61 states/eV per atom
- Spin magnetization: 4.1 μB/f.u.
- Electronic total energy: -7.448 eV per atom

***

## Pm5Pu3Se8 (PBE)

Data for crystalline Pm5Pu3Se8 at its relaxed geometry.

Cell: 8.3288 8.3288 20.5656 Å, 90.00 90.00 120.00°
Space group R-3m (No. 166, hexagonal axes)
Inequivalent atoms, fractional coordinates:
Pm: 0.0000 0.0000 0.0000
Pm: 0.0000 0.0000 0.5000
Pm: 0.0000 0.5000 0.0000
Pu: 0.0000 0.5000 0.5000
Se: 0.0000 0.0000 0.2482
Se: 0.0023 0.5011 0.7511

Properties
- Fermi-level density of states: 1.79 states/eV per atom
- Raw formation energy: -1.741 eV/atom
- Spin magnetization: 17.4 μB/f.u.
- Electronic total energy: -7.655 eV per atom

***

## RbBa2SbSe4 (PBE)

Data for crystalline RbBa2SbSe4 at its relaxed geometry.

Cell: 9.196 9.221 12.913 Å, 90.00 90.00 90.00°
Space group Imma (No. 74)
Inequivalent atoms, fractional coordinates:
Rb: 0.000 0.000 0.000
Ba: 0.000 0.000 0.500
Ba: 0.250 0.250 0.250
Sb: 0.250 0.250 0.750
Se: 0.000 0.025 0.748
Se: 0.242 0.250 0.520

Properties
- Raw formation energy: -1.226 eV/atom
- Spin magnetization: 0.0 μB/f.u.
- Electronic total energy: -4.085 eV per atom

***

## ReAg2Os (PBE)

Data for crystalline ReAg2Os at its relaxed geometry.

Cell: 9.126 2.718 5.226 Å, 90.00 97.11 90.00°
Space group Cm (No. 8)
Inequivalent atoms, fractional coordinates:
Re: 0.000 0.000 0.000
Ag: 0.247 0.000 0.694
Ag: 0.495 0.000 0.480
Os: 0.244 0.500 0.171

Properties
- Fermi-level density of states: 0.77 states/eV per atom
- Spin magnetization: 0.0 μB/f.u.
- Electronic total energy: -6.735 eV per atom

***

## Li3LaTl3 (PBE)

Data for crystalline Li3LaTl3 at its relaxed geometry.

Cell: 7.195 7.195 7.195 Å, 90.00 90.00 90.00°
Space group Pm-3n (No. 223)
Inequivalent atoms, fractional coordinates:
Li: 0.000 0.250 0.500
La: 0.000 0.000 0.000
Tl: 0.000 0.500 0.250

Properties
- Fermi-level density of states: 0.57 states/eV per atom
- Spin magnetization: 0.0 μB/f.u.
- Electronic total energy: -2.466 eV per atom

***

## ScNbSnIr2 (PBE)

Data for crystalline ScNbSnIr2 at its relaxed geometry.

Cell: 4.814 4.814 5.031 Å, 90.00 90.00 90.00°
Space group P4/mmm (No. 123)
Inequivalent atoms, fractional coordinates:
Sc: 0.000 0.000 0.000
Nb: 0.000 0.000 0.500
Sn: 0.500 0.500 0.000
Ir: 0.000 0.500 0.500

Properties
- Fermi-level density of states: 0.77 states/eV per atom
- Spin magnetization: 0.0 μB/f.u.
- Electronic total energy: -6.788 eV per atom

***

## Ho2ErTl (PBE)

Data for crystalline Ho2ErTl at its relaxed geometry.

Cell: 3.817 5.344 11.443 Å, 90.00 90.00 90.00°
Space group Immm (No. 71)
Inequivalent atoms, fractional coordinates:
Ho: 0.000 0.000 0.225
Er: 0.000 0.500 0.000
Tl: 0.000 0.500 0.500

Properties
- Fermi-level density of states: 0.88 states/eV per atom
- Spin magnetization: 0.0 μB/f.u.
- Electronic total energy: -4.189 eV per atom

***

## Zr8HC3N3 (PBE)

Data for crystalline Zr8HC3N3 at its relaxed geometry.

Cell: 6.5851 6.5851 16.2194 Å, 90.00 90.00 120.00°
Space group R-3m (No. 166, hexagonal axes)
Inequivalent atoms, fractional coordinates:
Zr: 0.0000 0.0000 0.2483
Zr: 0.9997 0.4998 0.2506
H: 0.0000 0.0000 0.5000
C: 0.0000 0.5000 0.5000
N: 0.0000 0.5000 0.0000

Properties
- Fermi-level density of states: 0.74 states/eV per atom
- Spin magnetization: 0.0 μB/f.u.
- Electronic total energy: -9.305 eV per atom

***

## Zr6Ni2Pt (PBE)

Data for crystalline Zr6Ni2Pt at its relaxed geometry.

Cell: 8.245 8.495 10.017 Å, 90.00 90.00 90.00°
Space group Immm (No. 71)
Inequivalent atoms, fractional coordinates:
Zr: 0.000 0.191 0.236
Zr: 0.201 0.500 0.171
Zr: 0.203 0.306 0.500
Ni: 0.000 0.347 0.000
Ni: 0.000 0.500 0.376
Pt: 0.000 0.000 0.000
Pt: 0.000 0.000 0.500

Properties
- Fermi-level density of states: 1.12 states/eV per atom
- Spin magnetization: 0.0 μB/f.u.
- Electronic total energy: -8.072 eV per atom

***

## BaCr2Ru (PBE)

Data for crystalline BaCr2Ru at its relaxed geometry.

Cell: 4.2917 4.2917 17.9748 Å, 90.00 90.00 120.00°
Space group R3m (No. 160, hexagonal axes)
Inequivalent atoms, fractional coordinates:
Ba: 0.0000 0.0000 0.0000
Cr: 0.0000 0.0000 0.1892
Cr: 0.0000 0.0000 0.4896
Ru: 0.0000 0.0000 0.8133

Properties
- Fermi-level density of states: 1.14 states/eV per atom
- Spin magnetization: 0.6 μB/f.u.
- Electronic total energy: -7.089 eV per atom

***

## SmZrIr (PBE)

Data for crystalline SmZrIr at its relaxed geometry.

Cell: 4.644 4.644 6.739 Å, 90.00 90.00 90.00°
Space group P4/nmm (No. 129, origin choice 2)
Inequivalent atoms, fractional coordinates:
Sm: 0.250 0.250 0.131
Zr: 0.250 0.750 0.500
Ir: 0.250 0.250 0.708

Properties
- Fermi-level density of states: 1.03 states/eV per atom
- Spin magnetization: 0.0 μB/f.u.
- Electronic total energy: -8.028 eV per atom

***

## Hf2ZrVC (PBE)

Data for crystalline Hf2ZrVC at its relaxed geometry.

Cell: 4.631 4.631 4.028 Å, 90.00 90.00 90.00°
Space group P4/mmm (No. 123)
Inequivalent atoms, fractional coordinates:
Hf: 0.000 0.500 0.000
Zr: 0.000 0.000 0.500
V: 0.500 0.500 0.500
C: 0.500 0.500 0.000

Properties
- Fermi-level density of states: 1.19 states/eV per atom
- Spin magnetization: 0.5 μB/f.u.
- Electronic total energy: -9.555 eV per atom

***

## Tb2CeH8 (PBE)

Data for crystalline Tb2CeH8 at its relaxed geometry.

Cell: 3.690 5.354 11.086 Å, 90.00 90.00 90.00°
Space group Immm (No. 71)
Inequivalent atoms, fractional coordinates:
Tb: 0.000 0.000 0.170
Ce: 0.000 0.000 0.500
H: 0.000 0.220 0.000
H: 0.000 0.265 0.335
H: 0.000 0.500 0.155

Properties
- Fermi-level density of states: 0.64 states/eV per atom
- Spin magnetization: 0.8 μB/f.u.
- Electronic total energy: -4.415 eV per atom

***

## KRbLa2Ir (PBE)

Data for crystalline KRbLa2Ir at its relaxed geometry.

Cell: 5.583 5.583 7.158 Å, 90.00 90.00 90.00°
Space group P4/mmm (No. 123)
Inequivalent atoms, fractional coordinates:
K: 0.000 0.000 0.000
Rb: 0.500 0.500 0.000
La: 0.000 0.500 0.500
Ir: 0.000 0.000 0.500

Properties
- Fermi-level density of states: 0.67 states/eV per atom
- Spin magnetization: 0.0 μB/f.u.
- Electronic total energy: -4.188 eV per atom

***

## Tm2Be3Cu12Ag (PBE)

Data for crystalline Tm2Be3Cu12Ag at its relaxed geometry.

Cell: 7.4712 7.4712 17.8049 Å, 90.00 90.00 120.00°
Space group R-3m (No. 166, hexagonal axes)
Inequivalent atoms, fractional coordinates:
Tm: 0.0000 0.0000 0.0965
Be: 0.0000 0.5000 0.0000
Cu: 0.0357 0.5179 0.3553
Cu: 0.0455 0.5227 0.8792
Ag: 0.0000 0.0000 0.5000

Properties
- Fermi-level density of states: 0.44 states/eV per atom
- Spin magnetization: 0.0 μB/f.u.
- Electronic total energy: -3.653 eV per atom

***

## CeEr2Hg8 (PBE)

Data for crystalline CeEr2Hg8 at its relaxed geometry.

Cell: 5.115 7.422 14.683 Å, 90.00 90.00 90.00°
Space group Immm (No. 71)
Inequivalent atoms, fractional coordinates:
Ce: 0.000 0.000 0.000
Er: 0.000 0.000 0.310
Hg: 0.000 0.204 0.500
Hg: 0.000 0.288 0.154
Hg: 0.000 0.500 0.344

Properties
- Fermi-level density of states: 1.07 states/eV per atom
- Spin magnetization: 1.0 μB/f.u.
- Electronic total energy: -1.856 eV per atom

***

## SmInGa2Cl6 (PBE)

Data for crystalline SmInGa2Cl6 at its relaxed geometry.

Cell: 7.572 7.582 7.992 Å, 90.03 118.27 119.95°
Space group P1 (No. 1)
Inequivalent atoms, fractional coordinates:
Sm: 0.000 0.000 0.000
In: 0.978 0.489 0.467
Ga: 0.380 0.690 0.070
Ga: 0.393 0.196 0.590
Cl: 0.154 0.253 0.796
Cl: 0.195 0.373 0.269
Cl: 0.447 0.074 0.268
Cl: 0.543 0.901 0.797
Cl: 0.895 0.642 0.797
Cl: 0.896 0.822 0.269

Properties
- Fermi-level density of states: 0.00 states/eV per atom
- Raw formation energy: -1.355 eV/atom
- Spin magnetization: 0.0 μB/f.u.
- Electronic total energy: -3.814 eV per atom

***

## Re2HgTe (PBE)

Data for crystalline Re2HgTe at its relaxed geometry.

Cell: 3.108 5.018 9.507 Å, 90.00 90.00 90.00°
Space group Immm (No. 71)
Inequivalent atoms, fractional coordinates:
Re: 0.000 0.000 0.225
Hg: 0.000 0.500 0.000
Te: 0.000 0.500 0.500

Properties
- Fermi-level density of states: 0.97 states/eV per atom
- Raw formation energy: 1.175 eV/atom
- Spin magnetization: 0.0 μB/f.u.
- Electronic total energy: -5.910 eV per atom

***

## U3Sn4Pt3 (PBE)

Data for crystalline U3Sn4Pt3 at its relaxed geometry.

Cell: 9.708 9.708 9.708 Å, 90.00 90.00 90.00°
Space group I-43d (No. 220)
Inequivalent atoms, fractional coordinates:
U: 0.000 0.250 0.875
Sn: 0.091 0.409 0.591
Pt: 0.000 0.250 0.375

Properties
- Fermi-level density of states: 2.58 states/eV per atom
- Spin magnetization: 4.8 μB/f.u.
- Electronic total energy: -7.252 eV per atom